Record 1
# Pu2SbAs PBE-GGA optimized geometry
# - ΔE_f (raw) (meV per atom) = -793
# - E (eV/f.u.) = -40.61
# - magnetic moment (μB per cell) = 30.0
data_Pu2SbAs
_symmetry_space_group_name_H-M 'R -3 m'
_symmetry_Int_Tables_number 166
_symmetry_space_group_name_Hall '-R 3 2"'
_cell_length_a 4.2623
_cell_length_b 4.2623
_cell_length_c 21.1144
_cell_angle_alpha 90.00
_cell_angle_beta 90.00
_cell_angle_gamma 120.00
loop_
_atom_site_label
_atom_site_type_symbol
_atom_site_fract_x
_atom_site_fract_y
_atom_site_fract_z
Pu1 Pu 0.0000 0.0000 0.2430
Sb1 Sb 0.0000 0.0000 0.0000
As1 As 0.0000 0.0000 0.5000

Record 2
# CuRu3C PBE-GGA optimized geometry
# - E (eV/f.u.) = -26.40
# - magnetic moment (μB per cell) = 4.4
# - formation energy from the elements (meV per atom) = 2949
# - E above lowest polymorph (eV per atom) = 2.567
data_CuRu3C
_symmetry_space_group_name_H-M 'P m -3 m'
_symmetry_Int_Tables_number 221
_symmetry_space_group_name_Hall '-P 4 2 3'
_cell_length_a 4.459
_cell_length_b 4.459
_cell_length_c 4.459
_cell_angle_alpha 90.00
_cell_angle_beta 90.00
_cell_angle_gamma 90.00
loop_
_atom_site_label
_atom_site_type_symbol
_atom_site_fract_x
_atom_site_fract_y
_atom_site_fract_z
Cu1 Cu 0.000 0.000 0.000
Ru1 Ru 0.000 0.000 0.500
C1 C 0.500 0.500 0.500

Record 3
# CaSi2H PBE-GGA optimized geometry
# - E (eV/f.u.) = -17.04
# - magnetic moment (μB per cell) = 0.0
# - E above lowest polymorph (eV per atom) = 0.070
data_CaSi2H
_symmetry_space_group_name_H-M 'C 1 m 1'
_symmetry_Int_Tables_number 8
_symmetry_space_group_name_Hall 'C -2y'
_cell_length_a 11.308
_cell_length_b 3.876
_cell_length_c 6.290
_cell_angle_alpha 90.00
_cell_angle_beta 99.66
_cell_angle_gamma 90.00
loop_
_atom_site_label
_atom_site_type_symbol
_atom_site_fract_x
_atom_site_fract_y
_atom_site_fract_z
Ca1 Ca 0.000 0.000 0.000
Ca2 Ca 0.144 0.500 0.556
Si1 Si 0.246 0.500 0.131
Si2 Si 0.250 0.000 0.907
Si3 Si 0.388 0.000 0.653
Si4 Si 0.410 0.500 0.443
H1 H 0.039 0.500 0.183
H2 H 0.468 0.000 0.197

Record 4
# HoThAl2Hg4 PBE-GGA optimized geometry
# - E (eV/f.u.) = -22.02
# - magnetic moment (μB per cell) = 0.0
# - formation energy from the elements (meV per atom) = -166
data_HoThAl2Hg4
_symmetry_space_group_name_H-M 'P 4/m m m'
_symmetry_Int_Tables_number 123
_symmetry_space_group_name_Hall '-P 4 2'
_cell_length_a 4.382
_cell_length_b 4.382
_cell_length_c 10.379
_cell_angle_alpha 90.00
_cell_angle_beta 90.00
_cell_angle_gamma 90.00
loop_
_atom_site_label
_atom_site_type_symbol
_atom_site_fract_x
_atom_site_fract_y
_atom_site_fract_z
Ho1 Ho 0.000 0.000 0.000
Th1 Th 0.000 0.000 0.500
Al1 Al 0.500 0.500 0.380
Hg1 Hg 0.000 0.500 0.215

Record 5
# TiGeO4 PBE-GGA optimized geometry
# - ΔE_f (raw) (meV per atom) = -2268
# - E (eV/f.u.) = -45.95
# - magnetic moment (μB per cell) = 0.0
data_TiGeO4
_symmetry_space_group_name_H-M 'P 1 21/c 1'
_symmetry_Int_Tables_number 14
_symmetry_space_group_name_Hall '-P 2ybc'
_cell_length_a 5.442
_cell_length_b 4.549
_cell_length_c 5.419
_cell_angle_alpha 90.00
_cell_angle_beta 113.62
_cell_angle_gamma 90.00
loop_
_atom_site_label
_atom_site_type_symbol
_atom_site_fract_x
_atom_site_fract_y
_atom_site_fract_z
Ti1 Ti 0.000 0.000 0.000
Ge1 Ge 0.500 0.000 0.500
O1 O 0.160 0.187 0.353
O2 O 0.351 0.702 0.656

Record 6
# BaSiOsS2 PBE-GGA optimized geometry
# - ΔE_f (raw) (meV per atom) = 1020
# - E (eV/f.u.) = -21.73
# - magnetic moment (μB per cell) = 3.1
# - E above lowest polymorph (eV per atom) = 1.294
data_BaSiOsS2
_symmetry_space_group_name_H-M 'P 4/m m m'
_symmetry_Int_Tables_number 123
_symmetry_space_group_name_Hall '-P 4 2'
_cell_length_a 4.627
_cell_length_b 4.627
_cell_length_c 6.215
_cell_angle_alpha 90.00
_cell_angle_beta 90.00
_cell_angle_gamma 90.00
loop_
_atom_site_label
_atom_site_type_symbol
_atom_site_fract_x
_atom_site_fract_y
_atom_site_fract_z
Ba1 Ba 0.000 0.000 0.000
Si1 Si 0.000 0.000 0.500
Os1 Os 0.500 0.500 0.000
S1 S 0.000 0.500 0.500

Record 7
# CaTbPrY PBE-GGA optimized geometry
# - E (eV/f.u.) = -17.34
# - magnetic moment (μB per cell) = 0.0
# - formation energy from the elements (meV per atom) = 133
# - E above lowest polymorph (eV per atom) = 0.079
data_CaTbPrY
_symmetry_space_group_name_H-M 'F -4 3 m'
_symmetry_Int_Tables_number 216
_symmetry_space_group_name_Hall 'F -4 2 3'
_cell_length_a 8.241
_cell_length_b 8.241
_cell_length_c 8.241
_cell_angle_alpha 90.00
_cell_angle_beta 90.00
_cell_angle_gamma 90.00
loop_
_atom_site_label
_atom_site_type_symbol
_atom_site_fract_x
_atom_site_fract_y
_atom_site_fract_z
Ca1 Ca 0.000 0.000 0.000
Tb1 Tb 0.000 0.000 0.500
Pr1 Pr 0.250 0.250 0.250
Y1 Y 0.250 0.250 0.750

Record 8
# LiNpAlO5 PBE-GGA optimized geometry
# - ΔE_f (raw) (meV per atom) = -2504
# - E (eV/f.u.) = -63.42
# - magnetic moment (μB per cell) = 4.0
data_LiNpAlO5
_symmetry_space_group_name_H-M 'C 1 2/c 1'
_symmetry_Int_Tables_number 15
_symmetry_space_group_name_Hall '-C 2yc'
_cell_length_a 5.681
_cell_length_b 9.238
_cell_length_c 6.653
_cell_angle_alpha 90.00
_cell_angle_beta 96.44
_cell_angle_gamma 90.00
loop_
_atom_site_label
_atom_site_type_symbol
_atom_site_fract_x
_atom_site_fract_y
_atom_site_fract_z
Li1 Li 0.000 0.200 0.250
Np1 Np 0.000 0.145 0.750
Al1 Al 0.000 0.500 0.000
O1 O 0.000 0.401 0.750
O2 O 0.160 0.104 0.498
O3 O 0.173 0.348 0.122